This record from Alexandria describes a relaxed K2TeF crystal. The functional is PBE.

Cell: 3.924 3.924 8.736 Å, 77.02 77.02 60.00°
Atoms (fractional coordinates):
Te: 0.500 0.500 0.500
K: 0.728 0.728 0.817
K: 0.272 0.272 0.183
F: 0.000 0.000 0.000

Output
Formation energy (no corrections) in eV per formula unit: -6.52
Offset from the most stable computed form in meV per atom: 1